## A
# GeTe2MoN PBE relaxed
# M_tot: 0.00 μB/f.u.
data_GeTe2MoN
_cell_length_a 5.4749
_cell_length_b 5.4749
_cell_length_c 3.7969
_cell_angle_alpha 90.00
_cell_angle_beta 90.00
_cell_angle_gamma 90.00
_symmetry_space_group_name_H-M 'P 4/m m m'
_symmetry_Int_Tables_number 123
_symmetry_space_group_name_Hall '-P 4 2'
loop_
_atom_site_label
_atom_site_type_symbol
_atom_site_fract_x
_atom_site_fract_y
_atom_site_fract_z
_atom_site_occupancy
Ge1 Ge 0.0000 0.0000 0.0000 1
Te1 Te 0.0000 0.5000 0.5000 1
Mo1 Mo 0.5000 0.5000 0.5000 1
N1 N 0.5000 0.5000 0.0000 1

## B
# GeTe2MoN PBE relaxed
# M_tot: 3.43 μB/f.u.
data_GeTe2MoN
_cell_length_a 5.5800
_cell_length_b 5.5800
_cell_length_c 3.5064
_cell_angle_alpha 90.00
_cell_angle_beta 90.00
_cell_angle_gamma 90.00
_symmetry_space_group_name_H-M 'P 4/m m m'
_symmetry_Int_Tables_number 123
_symmetry_space_group_name_Hall '-P 4 2'
loop_
_atom_site_label
_atom_site_type_symbol
_atom_site_fract_x
_atom_site_fract_y
_atom_site_fract_z
_atom_site_occupancy
Ge1 Ge 0.0000 0.0000 0.0000 1
Te1 Te 0.0000 0.5000 0.0000 1
Mo1 Mo 0.5000 0.5000 0.5000 1
N1 N 0.0000 0.0000 0.5000 1

Result of the stability comparison: A is the most stable of them.

## A
# NaGe2Mo2 PBE relaxed
# M_tot: 0.00 μB/f.u.
data_NaGe2Mo2
_cell_length_a 7.2176
_cell_length_b 7.2176
_cell_length_c 3.2258
_cell_angle_alpha 90.00
_cell_angle_beta 90.00
_cell_angle_gamma 90.00
_symmetry_space_group_name_H-M 'P 4/m b m'
_symmetry_Int_Tables_number 127
_symmetry_space_group_name_Hall '-P 4 2ab'
loop_
_atom_site_label
_atom_site_type_symbol
_atom_site_fract_x
_atom_site_fract_y
_atom_site_fract_z
_atom_site_occupancy
Na1 Na 0.0000 0.0000 0.0000 1
Ge1 Ge 0.1437 0.3563 0.0000 1
Mo1 Mo 0.1458 0.6458 0.5000 1

## B
# NaGe2Mo2 PBE relaxed
# M_tot: 0.00 μB/f.u.
data_NaGe2Mo2
_cell_length_a 7.8883
_cell_length_b 7.8883
_cell_length_c 2.8729
_cell_angle_alpha 90.00
_cell_angle_beta 90.00
_cell_angle_gamma 90.00
_symmetry_space_group_name_H-M 'P 4/m b m'
_symmetry_Int_Tables_number 127
_symmetry_space_group_name_Hall '-P 4 2ab'
loop_
_atom_site_label
_atom_site_type_symbol
_atom_site_fract_x
_atom_site_fract_y
_atom_site_fract_z
_atom_site_occupancy
Na1 Na 0.0000 0.0000 0.0000 1
Ge1 Ge 0.1800 0.3200 0.5000 1
Mo1 Mo 0.1077 0.6077 0.0000 1

## C
# NaGe2Mo2 PBE relaxed
# M_tot: 0.00 μB/f.u.
data_NaGe2Mo2
_cell_length_a 3.9194
_cell_length_b 3.9194
_cell_length_c 11.9355
_cell_angle_alpha 90.00
_cell_angle_beta 90.00
_cell_angle_gamma 90.00
_symmetry_space_group_name_H-M 'I 4/m m m'
_symmetry_Int_Tables_number 139
_symmetry_space_group_name_Hall '-I 4 2'
loop_
_atom_site_label
_atom_site_type_symbol
_atom_site_fract_x
_atom_site_fract_y
_atom_site_fract_z
_atom_site_occupancy
Na1 Na 0.0000 0.0000 0.0000 1
Ge1 Ge 0.0000 0.0000 0.3951 1
Mo1 Mo 0.0000 0.5000 0.2500 1

Result of the stability comparison: C is the most stable of them.

## A
# Nb2Ge4Mo PBE relaxed
# M_tot: 0.00 μB/f.u.
data_Nb2Ge4Mo
_cell_length_a 6.2753
_cell_length_b 5.0084
_cell_length_c 8.1840
_cell_angle_alpha 90.00
_cell_angle_beta 110.26
_cell_angle_gamma 90.00
_symmetry_space_group_name_H-M 'P 1 21/m 1'
_symmetry_Int_Tables_number 11
loop_
_symmetry_equiv_pos_as_xyz
'x,y,z'
'-x,-y,-z'
'-x,y+1/2,-z'
'x,-y+1/2,z'
loop_
_atom_site_label
_atom_site_type_symbol
_atom_site_fract_x
_atom_site_fract_y
_atom_site_fract_z
_atom_site_occupancy
Nb1 Nb 0.1797 0.2500 0.0729 1
Nb2 Nb 0.2199 0.2500 0.5211 1
Ge1 Ge 0.0756 0.0003 0.7588 1
Ge2 Ge 0.4382 0.7500 0.0414 1
Ge3 Ge 0.4540 0.7500 0.6400 1
Mo1 Mo 0.3248 0.7500 0.3067 1

## B
# Nb2Ge4Mo PBE relaxed
# M_tot: 0.00 μB/f.u.
data_Nb2Ge4Mo
_cell_length_a 4.8101
_cell_length_b 4.8101
_cell_length_c 12.9893
_cell_angle_alpha 90.00
_cell_angle_beta 90.00
_cell_angle_gamma 90.00
_symmetry_space_group_name_H-M 'I 4/m m m'
_symmetry_Int_Tables_number 139
_symmetry_space_group_name_Hall '-I 4 2'
loop_
_atom_site_label
_atom_site_type_symbol
_atom_site_fract_x
_atom_site_fract_y
_atom_site_fract_z
_atom_site_occupancy
Nb1 Nb 0.0000 0.0000 0.0994 1
Ge1 Ge 0.0000 0.0000 0.3036 1
Ge2 Ge 0.0000 0.5000 0.0000 1
Mo1 Mo 0.0000 0.0000 0.5000 1

Result of the stability comparison: A is the most stable of them.